Entry from Alexandria: a relaxed Ba5TlPt crystal (PBE).

## Properties
Energy of formation = -36 kJ per mole of atoms
SG = P2_1/m, No. 11

Structure (POSCAR):
```
Ba5TlPt
1.0
-1.131 1.775 4.236
-9.290 -5.193 -0.304
6.239 -10.766 6.176
Pt Ba Tl
2 10 2
Cartesian
-1.282 -8.156 7.036
-2.899 -6.028 3.072
-5.439 -5.439 4.788
-1.392 -11.042 8.216
3.669 -9.389 8.874
-7.850 -4.796 1.234
-2.790 -3.142 1.892
-1.417 -5.198 5.761
-2.764 -8.986 4.347
-5.888 -10.578 6.821
1.707 -3.607 3.287
1.257 -8.745 5.320
-3.571 -13.058 5.838
-0.610 -1.126 4.270
```